## LiHf2Bi2 (PBE)

Data for LiHf2Bi2 after structural relaxation.

Unit cell a=7.9531 b=7.9531 c=3.8767 alpha=90.00 beta=90.00 gamma=90.00
With the nearest neighbours (Å) after each atom.
Sites, in units of the cell vectors:
Li  0.0000  0.0000  0.0000  4 Bi 2.99
Li  0.5000  0.5000  0.0000  4 Bi 2.99
Bi  0.8410  0.6590  0.0000  2 Li 2.99, 6 Hf 3.00-3.05
Bi  0.1590  0.3410  0.0000  2 Li 2.99, 6 Hf 3.00-3.05
Bi  0.3410  0.8410  0.0000  2 Li 2.99, 6 Hf 3.00-3.05
Bi  0.6590  0.1590  0.0000  2 Li 2.99, 6 Hf 3.00-3.05
Hf  0.3631  0.1369  0.5000  6 Bi 3.00-3.05, 1 Hf 3.08
Hf  0.8631  0.3631  0.5000  6 Bi 3.00-3.05, 1 Hf 3.08
Hf  0.6369  0.8631  0.5000  6 Bi 3.00-3.05, 1 Hf 3.08
Hf  0.1369  0.6369  0.5000  6 Bi 3.00-3.05, 1 Hf 3.08

Results
The crystal system is tetragonal. The formation energy is -66.7 meV per atom. The density of states at the Fermi level comes out at 7.93 states/eV/cell.